Here is a relaxed structure of Pr3PuTe4 from Alexandria via LeMat-Bulk. Energies are from PBE.

Structure (extended XYZ):
```
8
Lattice="4.481 0.000 0.000 0.000 7.822 -0.049 0.000 -2.513 7.408" Properties=species:S:1:pos:R:3 pbc="T T T"
Te 0.000 4.012 5.561
Te 2.240 5.269 1.793
Te 0.000 1.297 1.797
Te 2.240 0.040 5.566
Pr 2.240 2.655 3.679
Pr 0.000 3.911 -0.025
Pr 0.000 -1.256 3.704
Pu 2.240 0.000 0.000
```

As for the density of states at the Fermi level: 13.0 states/eV/cell. The calculation puts the volume at 32.38 A^3/atom. The uncorrected formation energy comes out at -1.37 eV per atom.

=====

Here is a relaxed structure of YMn2Si from Alexandria via LeMat-Bulk. Energies are from PBE.

Structure (extended XYZ):
```
4
Lattice="4.057 0.000 0.000 0.000 3.443 0.008 0.000 1.701 5.167" Properties=species:S:1:pos:R:3 pbc="T T T"
Mn 2.029 1.929 1.207
Mn 0.000 0.211 0.551
Si 0.000 1.928 2.375
Y 2.029 3.648 3.629
```

As for the density of states at the Fermi level: 2.9 states/eV/cell. The calculation puts the volume at 18.03 A^3/atom. The uncorrected formation energy comes out at -0.03 eV per atom.

=====

Here is a relaxed structure of CsFeSe3 from Alexandria via LeMat-Bulk. Energies are from PBE.

Structure (extended XYZ):
```
5
Lattice="5.032 0.000 0.000 0.000 5.032 0.000 0.000 0.000 5.032" Properties=species:S:1:pos:R:3 pbc="T T T"
Fe 0.000 0.000 0.000
Se 0.000 2.516 0.000
Se 2.516 0.000 0.000
Se 0.000 0.000 2.516
Cs 2.516 2.516 2.516
```

As for the density of states at the Fermi level: 4.8 states/eV/cell. The calculation puts the volume at 25.48 A^3/atom. For the relative energy among the computed polymorphs, the calculation gives 0.0 kJ per mole of atoms. The uncorrected formation energy comes out at -0.25 eV per atom.

=====

Q: volume of number 2 (YMn2Si)?
A: 18.03 A^3/atom

=====

Q: Among the records above, which one has the lowest volume?
A: YMn2Si